Entry 1:
The following is a DFT calculation (GGA-PBE) of Na5Tl3Cd3 after structural relaxation.

Properties
Calculated volume in A^3/atom: 29.64
DFT total energy in eV per atom: -1.500
D(E_F) in states/eV per atom: 0.414
Symmetry: P-62m

The structure in CIF format:
```
data_Na5Tl3Cd3
_chemical_formula_sum 'Na5 Tl3 Cd3'
_cell_length_a 10.7950
_cell_length_b 10.7950
_cell_length_c 3.2309
_cell_angle_alpha 90.00
_cell_angle_beta 90.00
_cell_angle_gamma 120.00
_symmetry_space_group_name_H-M 'P 1'
_symmetry_Int_Tables_number 1
loop_
_symmetry_equiv_pos_as_xyz
'x,y,z'
loop_
_atom_site_label
_atom_site_type_symbol
_atom_site_fract_x
_atom_site_fract_y
_atom_site_fract_z
Na1 Na 0.0000 0.6661 0.0000
Na2 Na 0.3333 0.6667 0.0000
Na3 Na 0.3339 0.3339 0.0000
Na4 Na 0.6661 0.0000 0.0000
Na5 Na 0.6667 0.3333 0.0000
Tl1 Tl 0.0000 0.4033 0.5000
Tl2 Tl 0.4033 0.0000 0.5000
Tl3 Tl 0.5967 0.5967 0.5000
Cd1 Cd 0.0000 0.1572 0.0000
Cd2 Cd 0.1572 0.0000 0.0000
Cd3 Cd 0.8428 0.8428 0.0000
```



Entry 2:
The following is a DFT calculation (GGA-PBE) of Ce6Sn2SbTe3 after structural relaxation.

Properties
Calculated volume in A^3/atom: 32.38
DFT total energy in eV per atom: -5.813
D(E_F) in states/eV per atom: 3.477
Symmetry: C2/m

The structure in CIF format:
```
data_Ce6Sn2SbTe3
_chemical_formula_sum 'Ce6 Sn2 Sb1 Te3'
_cell_length_a 10.0516
_cell_length_b 10.0516
_cell_length_c 8.9743
_cell_angle_alpha 102.16
_cell_angle_beta 102.16
_cell_angle_gamma 26.03
_symmetry_space_group_name_H-M 'P 1'
_symmetry_Int_Tables_number 1
loop_
_symmetry_equiv_pos_as_xyz
'x,y,z'
loop_
_atom_site_label
_atom_site_type_symbol
_atom_site_fract_x
_atom_site_fract_y
_atom_site_fract_z
Ce1 Ce 0.0013 0.0013 0.2477
Ce2 Ce 0.3323 0.3323 0.4195
Ce3 Ce 0.3343 0.3343 0.9143
Ce4 Ce 0.6657 0.6657 0.0857
Ce5 Ce 0.6677 0.6677 0.5805
Ce6 Ce 0.9987 0.9987 0.7523
Sn1 Sn 0.1666 0.1666 0.3326
Sn2 Sn 0.8334 0.8334 0.6674
Sb1 Sb 0.5000 0.5000 0.0000
Te1 Te 0.1663 0.1663 0.8330
Te2 Te 0.5000 0.5000 0.5000
Te3 Te 0.8337 0.8337 0.1670
```